# Li3MnFe SCAN single point on PBEsol structure
# Magnetic moment = 1.47 μB per atom
# Formation energy from the elements = 793.3 meV/atom
data_Li3MnFe
_cell_length_a 4.495
_cell_length_b 4.495
_cell_length_c 4.495
_cell_angle_alpha 90.00
_cell_angle_beta 90.00
_cell_angle_gamma 90.00
_symmetry_space_group_name_H-M 'P m -3 m'
_symmetry_Int_Tables_number 221
_symmetry_space_group_name_Hall '-P 4 2 3'
loop_
_atom_site_label
_atom_site_type_symbol
_atom_site_fract_x
_atom_site_fract_y
_atom_site_fract_z
_atom_site_occupancy
Li1 Li 0.000 0.000 0.500 1
Mn1 Mn 0.500 0.500 0.500 1
Fe1 Fe 0.000 0.000 0.000 1



# GaSn3 SCAN single point on PBEsol structure
# Magnetic moment = 0.00 μB per atom
# Formation energy from the elements = 225.9 meV/atom
data_GaSn3
_cell_length_a 7.291
_cell_length_b 7.291
_cell_length_c 7.291
_cell_angle_alpha 90.00
_cell_angle_beta 90.00
_cell_angle_gamma 90.00
_symmetry_space_group_name_H-M 'F m -3 m'
_symmetry_Int_Tables_number 225
_symmetry_space_group_name_Hall '-F 4 2 3'
loop_
_atom_site_label
_atom_site_type_symbol
_atom_site_fract_x
_atom_site_fract_y
_atom_site_fract_z
_atom_site_occupancy
Ga1 Ga 0.000 0.000 0.000 1
Sn1 Sn 0.000 0.000 0.500 1
Sn2 Sn 0.250 0.250 0.250 1



# KTe2Au SCAN single point on PBEsol structure
# Formation energy without anion corrections = -0.28 eV/atom
# Magnetic moment = 0.00 μB per atom
data_KTe2Au
_cell_length_a 3.757
_cell_length_b 3.757
_cell_length_c 9.131
_cell_angle_alpha 90.00
_cell_angle_beta 90.00
_cell_angle_gamma 90.00
_symmetry_space_group_name_H-M 'P 4 m m'
_symmetry_Int_Tables_number 99
_symmetry_space_group_name_Hall 'P 4 -2'
loop_
_atom_site_label
_atom_site_type_symbol
_atom_site_fract_x
_atom_site_fract_y
_atom_site_fract_z
_atom_site_occupancy
K1 K 0.000 0.000 0.000 1
Te1 Te 0.000 0.000 0.627 1
Te2 Te 0.500 0.500 0.238 1
Au1 Au 0.500 0.500 0.542 1